VASP calculation (PBE) on an optimized crystal structure of CePuRu.

The structure in POSCAR format:
```
CePuRu
1.0
4.7571 0.0000 0.0000
2.3785 4.1198 0.0000
2.3785 1.3733 3.8841
Ru Ce Pu
1 1 1
Cartesian
2.3785 1.3733 0.9710
4.7571 2.7465 1.9421
0.0000 0.0000 0.0000
```

Values from the calculation:
Total energy ... -29.67 eV/cell
Formation energy from the elements ... -0.13 eV per formula unit
Space group ... F-43m